No. 1
Material: MgAuSeN2
Method: DFT, PBE
State: relaxed Values from VASP.

Structure (Quantum ESPRESSO input):
```
&SYSTEM
  ibrav = 0, nat = 5, ntyp = 4
/
ATOMIC_SPECIES
Mg 24.30 Mg.upf
Au 196.97 Au.upf
Se 78.96 Se.upf
N 14.01 N.upf
CELL_PARAMETERS angstrom
4.0204 0.0000 0.0000
0.0000 4.0204 0.0000
0.0000 0.0000 5.7706
ATOMIC_POSITIONS crystal
Mg 0.0000 0.0000 0.0000
Au 0.5000 0.5000 0.5000
Se 0.0000 0.0000 0.5000
N 0.0000 0.5000 0.0000
N 0.5000 0.0000 0.0000
```

Formation energy from raw total energies = 1300 meV/atom
Volume = 93.27 Å³/cell
Polymorph energy (0 for the lowest one) = 0.56 eV per formula unit
Raw total energy = -18.51 eV/cell



No. 2
Material: ReP2Pb
Method: DFT, PBE
State: relaxed Values from VASP.

Structure (Quantum ESPRESSO input):
```
&SYSTEM
  ibrav = 0, nat = 8, ntyp = 3
/
ATOMIC_SPECIES
Re 186.21 Re.upf
P 30.97 P.upf
Pb 207.20 Pb.upf
CELL_PARAMETERS angstrom
-2.9970 2.9970 5.5650
2.9970 -2.9970 5.5650
2.9970 2.9970 -5.5650
ATOMIC_POSITIONS crystal
Re 0.0000 0.0000 0.0000
Re 0.7500 0.2500 0.5000
P 0.0398 0.6250 0.9148
P 0.3750 0.2898 0.4148
P 0.7102 0.1250 0.0852
P 0.8750 0.9602 0.5852
Pb 0.2500 0.7500 0.5000
Pb 0.5000 0.5000 0.0000
```

Volume = 199.94 Å³/cell
Raw total energy = -52.34 eV/cell
ΔH_f (0 K) = 0.20 eV/atom



No. 3
Material: SrB3S
Method: DFT, PBE
State: relaxed Values from VASP.

Structure (Quantum ESPRESSO input):
```
&SYSTEM
  ibrav = 0, nat = 5, ntyp = 3
/
ATOMIC_SPECIES
Sr 87.62 Sr.upf
B 10.81 B.upf
S 32.06 S.upf
CELL_PARAMETERS angstrom
4.1132 0.0000 0.0000
0.0000 4.1132 0.0000
0.0000 0.0000 4.1132
ATOMIC_POSITIONS crystal
Sr 0.0000 0.0000 0.0000
B 0.0000 0.5000 0.5000
B 0.5000 0.0000 0.5000
B 0.5000 0.5000 0.0000
S 0.5000 0.5000 0.5000
```

Formation energy from raw total energies = 1388 meV/atom
Volume = 69.59 Å³/cell
Polymorph energy (0 for the lowest one) = 0.00 eV per formula unit
Raw total energy = -18.90 eV/cell



No. 4
Material: Tb4Pt3
Method: DFT, PBE
State: relaxed Values from VASP.

Structure (Quantum ESPRESSO input):
```
&SYSTEM
  ibrav = 0, nat = 14, ntyp = 2
/
ATOMIC_SPECIES
Tb 158.93 Tb.upf
Pt 195.08 Pt.upf
CELL_PARAMETERS angstrom
6.0861 3.5138 2.5944
-6.0861 3.5138 2.5944
0.0000 -7.0276 2.5944
ATOMIC_POSITIONS crystal
Tb 0.0000 0.0000 0.0000
Tb 0.1519 0.2807 0.6721
Tb 0.2807 0.6721 0.1519
Tb 0.3279 0.8481 0.7193
Tb 0.5000 0.5000 0.5000
Tb 0.6721 0.1519 0.2807
Tb 0.7193 0.3279 0.8481
Tb 0.8481 0.7193 0.3279
Pt 0.0479 0.4293 0.2992
Pt 0.2992 0.0479 0.4293
Pt 0.4293 0.2992 0.0479
Pt 0.5707 0.7008 0.9521
Pt 0.7008 0.9521 0.5707
Pt 0.9521 0.5707 0.7008
```

Volume = 332.89 Å³/cell
Raw total energy = -88.75 eV/cell
ΔH_f (0 K) = -1.10 eV/atom



No. 5
Material: CsGeSe2
Method: DFT, PBE
State: relaxed Values from VASP.

Structure (Quantum ESPRESSO input):
```
&SYSTEM
  ibrav = 0, nat = 32, ntyp = 3
/
ATOMIC_SPECIES
Cs 132.91 Cs.upf
Ge 72.64 Ge.upf
Se 78.96 Se.upf
CELL_PARAMETERS angstrom
10.1571 0.0000 0.0000
0.0000 7.2514 0.0000
0.0000 0.0000 16.2098
ATOMIC_POSITIONS crystal
Cs 0.0319 0.2500 0.1291
Cs 0.1912 0.7500 0.3244
Cs 0.3088 0.2500 0.8244
Cs 0.4681 0.7500 0.6291
Cs 0.5319 0.2500 0.3709
Cs 0.6912 0.7500 0.1756
Cs 0.8088 0.2500 0.6756
Cs 0.9681 0.7500 0.8709
Ge 0.0822 0.7500 0.5459
Ge 0.2264 0.2500 0.5800
Ge 0.2736 0.7500 0.0800
Ge 0.4178 0.2500 0.0459
Ge 0.5822 0.7500 0.9541
Ge 0.7264 0.2500 0.9200
Ge 0.7736 0.7500 0.4200
Ge 0.9178 0.2500 0.4541
Se 0.0463 0.7500 0.0970
Se 0.1274 0.5075 0.6549
Se 0.1274 0.9925 0.6549
Se 0.1667 0.2500 0.4366
Se 0.3333 0.7500 0.9366
Se 0.3726 0.0075 0.1549
Se 0.3726 0.4925 0.1549
Se 0.4537 0.2500 0.5970
Se 0.5463 0.7500 0.4030
Se 0.6274 0.5075 0.8451
Se 0.6274 0.9925 0.8451
Se 0.6667 0.2500 0.0634
Se 0.8333 0.7500 0.5634
Se 0.8726 0.0075 0.3451
Se 0.8726 0.4925 0.3451
Se 0.9537 0.2500 0.9030
```

Formation energy from raw total energies = -770 meV/atom
Volume = 1193.91 Å³/cell
Raw total energy = -124.15 eV/cell